A relaxed CrIrW2 crystal, computed with GGA-PBEsol.

a b c (Å): 2.699 4.338 4.928
angles (deg): 90.00 96.94 90.00
Element x y z (fractional)
Ir 0.374 0.500 0.764
Cr 0.409 0.000 0.472
W 0.741 0.500 0.280
W 0.976 0.000 0.983

Summary:
ΔH_f (0 K)   0.26 eV/f.u.
M_tot   0.000 μB/cell

=====

A relaxed Cr4IrW crystal, computed with GGA-PBEsol.

a b c (Å): 4.708 4.708 4.708
angles (deg): 60.00 60.00 60.00
Element x y z (fractional)
Cr 0.879 0.374 0.374
Cr 0.374 0.879 0.374
Cr 0.374 0.374 0.374
W 0.000 0.000 0.000
Cr 0.374 0.374 0.879
Ir 0.750 0.750 0.750

Summary:
ΔH_f (0 K)   -0.24 eV/f.u.
M_tot   0.000 μB/cell

=====

A relaxed YZr2CrIr crystal, computed with GGA-PBEsol.

a b c (Å): 4.613 4.613 4.892
angles (deg): 90.00 90.00 90.00
Element x y z (fractional)
Y 0.000 0.000 0.500
Cr 0.000 0.000 0.000
Ir 0.500 0.500 0.500
Zr 0.500 0.000 0.000
Zr 0.000 0.500 0.000

Summary:
ΔH_f (0 K)   3.16 eV/f.u.
M_tot   0.000 μB/cell

=====

A relaxed ZnCr2Ir crystal, computed with GGA-PBEsol.

a b c (Å): 2.616 2.616 7.335
angles (deg): 90.00 90.00 90.00
Element x y z (fractional)
Cr 0.000 0.000 0.247
Cr 0.000 0.000 0.753
Ir 0.500 0.500 0.000
Zn 0.500 0.500 0.500

Summary:
ΔH_f (0 K)   0.23 eV/f.u.
M_tot   0.002 μB/cell

=====

A relaxed ZnCrIr2 crystal, computed with GGA-PBEsol.

a b c (Å): 2.719 4.508 4.679
angles (deg): 100.31 90.00 107.55
Element x y z (fractional)
Ir 0.755 0.511 0.754
Cr 0.500 0.000 0.000
Ir 0.245 0.489 0.246
Zn 0.000 0.000 0.500

Summary:
ΔH_f (0 K)   -0.26 eV/f.u.
M_tot   2.027 μB/cell

=====

A relaxed ZnCrIr crystal, computed with GGA-PBEsol.

a b c (Å): 2.636 4.119 4.119
angles (deg): 120.00 90.00 90.00
Element x y z (fractional)
Cr 0.012 0.000 0.000
Ir 0.652 0.333 0.667
Zn 0.336 0.667 0.333

Summary:
ΔH_f (0 K)   0.26 eV/f.u.
M_tot   0.001 μB/cell
Energy above the lowest structure with this stoichiometry   164.3 meV/atom

=====

A relaxed ZnCr2Ir crystal, computed with GGA-PBEsol.

a b c (Å): 2.603 3.824 4.982
angles (deg): 90.00 90.00 90.00
Element x y z (fractional)
Zn 0.500 0.500 0.500
Cr 0.000 0.000 0.258
Cr 0.000 0.000 0.742
Ir 0.500 0.500 0.000

Summary:
ΔH_f (0 K)   0.11 eV/f.u.
M_tot   0.000 μB/cell

=====

A relaxed ZnCrIr2 crystal, computed with GGA-PBEsol.

a b c (Å): 2.722 2.722 7.098
angles (deg): 90.00 90.00 90.00
Element x y z (fractional)
Zn 0.500 0.500 0.000
Ir 0.000 0.000 0.264
Cr 0.500 0.500 0.500
Ir 0.000 0.000 0.736

Summary:
ΔH_f (0 K)   -0.90 eV/f.u.
M_tot   0.000 μB/cell

=====

A relaxed ZnCrIr crystal, computed with GGA-PBEsol.

a b c (Å): 2.728 2.728 5.562
angles (deg): 104.20 104.20 90.00
Element x y z (fractional)
Cr 0.006 0.006 0.012
Ir 0.658 0.658 0.316
Zn 0.336 0.336 0.673

Summary:
ΔH_f (0 K)   -0.23 eV/f.u.
M_tot   0.000 μB/cell
Energy above the lowest structure with this stoichiometry   0.0 meV/atom

=====

A relaxed ZnCrIr crystal, computed with GGA-PBEsol.

a b c (Å): 4.029 4.029 4.029
angles (deg): 60.00 60.00 60.00
Element x y z (fractional)
Ir 0.250 0.250 0.250
Cr 0.500 0.500 0.500
Zn 0.000 0.000 0.000

Summary:
ΔH_f (0 K)   1.02 eV/f.u.
M_tot   0.474 μB/cell
Energy above the lowest structure with this stoichiometry   418.7 meV/atom

=====

A relaxed ZnCrIr2 crystal, computed with GGA-PBEsol.

a b c (Å): 2.689 2.689 8.618
angles (deg): 81.03 81.03 60.00
Element x y z (fractional)
Zn 0.500 0.500 0.500
Cr 0.000 0.000 0.000
Ir 0.254 0.254 0.238
Ir 0.746 0.746 0.762

Summary:
ΔH_f (0 K)   -0.62 eV/f.u.
M_tot   0.000 μB/cell

=====

A relaxed ZnCrIr2 crystal, computed with GGA-PBEsol.

a b c (Å): 2.725 3.494 5.537
angles (deg): 90.00 90.00 90.00
Element x y z (fractional)
Zn 0.500 0.500 0.000
Ir 0.000 0.000 0.744
Ir 0.000 0.000 0.256
Cr 0.500 0.500 0.500

Summary:
ΔH_f (0 K)   -0.58 eV/f.u.
M_tot   0.989 μB/cell